# Tb4CePr2

A relaxed structure of Tb4CePr2 (GGA-PBE, the Alexandria database).

Cell: 6.2766 3.6194 20.5132 Å, 90.00 95.86 90.00°
Closest atoms and distances in Å follow each position.
Space group Cm (No. 8)
Asymmetric unit:
Tb 0.0000 0.0000 0.0000 [2 per cell]  6 Pr 3.59-3.64, 6 Tb 3.62
Tb 0.0241 0.5000 0.5687 [2 per cell]  9 Tb 3.52-3.62, 3 Ce 3.53-3.56
Tb 0.4029 0.5000 0.7077 [2 per cell]  9 Tb 3.52-3.62, 3 Pr 3.64-3.65
Tb 0.4303 0.0000 0.2878 [2 per cell]  3 Ce 3.52-3.55, 3 Pr 3.60-3.62, 6 Tb 3.62
Ce 0.3050 0.5000 0.4280 [2 per cell]  6 Tb 3.52-3.56, 6 Ce 3.62
Pr 0.1221 0.5000 0.8542 [2 per cell]  6 Pr 3.62, 6 Tb 3.62-3.65
Pr 0.2123 0.5000 0.1433 [2 per cell]  6 Tb 3.59-3.62, 6 Pr 3.62

Computed properties:
Formation energy from the elements (eV/atom): 0.0471